1.
The following is a PBE calculation of a geometry-optimized U3Al5Te12 structure, from the Alexandria database.

Properties
Energy = -4.950 eV per atom
Fermi-level density of states = 1.36 states/eV/atom
Formation energy without anion corrections = -10.1 kcal/mol of atoms
Symmetry = Ia-3d (230)
Total moment = 8.2 μB/f.u.

Cell and atoms, written as POSCAR:
```
U3Al5Te12
1.0
-8.586 8.586 8.586
8.586 -8.586 8.586
8.586 8.586 -8.586
U Al Te
12 20 48
Direct
0.125 0.250 0.375
0.125 0.375 0.750
0.250 0.375 0.125
0.250 0.875 0.625
0.375 0.125 0.250
0.375 0.750 0.125
0.625 0.250 0.875
0.625 0.875 0.750
0.750 0.125 0.375
0.750 0.625 0.875
0.875 0.625 0.250
0.875 0.750 0.625
0.000 0.000 0.000
0.000 0.000 0.500
0.000 0.500 0.000
0.000 0.500 0.500
0.125 0.750 0.875
0.125 0.875 0.250
0.250 0.125 0.875
0.250 0.625 0.375
0.375 0.250 0.625
0.375 0.625 0.750
0.500 0.000 0.000
0.500 0.000 0.500
0.500 0.500 0.000
0.500 0.500 0.500
0.625 0.375 0.250
0.625 0.750 0.375
0.750 0.375 0.625
0.750 0.875 0.125
0.875 0.125 0.750
0.875 0.250 0.125
0.036 0.212 0.125
0.036 0.324 0.912
0.088 0.625 0.412
0.088 0.712 0.676
0.088 0.875 0.412
0.088 0.964 0.676
0.125 0.036 0.212
0.125 0.588 0.912
0.176 0.212 0.588
0.176 0.464 0.588
0.212 0.125 0.036
0.212 0.588 0.176
0.288 0.324 0.912
0.288 0.464 0.375
0.324 0.912 0.036
0.324 0.912 0.288
0.375 0.288 0.464
0.375 0.588 0.912
0.412 0.088 0.625
0.412 0.088 0.875
0.412 0.824 0.536
0.412 0.824 0.788
0.464 0.375 0.288
0.464 0.588 0.176
0.536 0.412 0.824
0.536 0.625 0.712
0.588 0.176 0.212
0.588 0.176 0.464
0.588 0.912 0.125
0.588 0.912 0.375
0.625 0.412 0.088
0.625 0.712 0.536
0.676 0.088 0.712
0.676 0.088 0.964
0.712 0.536 0.625
0.712 0.676 0.088
0.788 0.412 0.824
0.788 0.875 0.964
0.824 0.536 0.412
0.824 0.788 0.412
0.875 0.412 0.088
0.875 0.964 0.788
0.912 0.036 0.324
0.912 0.125 0.588
0.912 0.288 0.324
0.912 0.375 0.588
0.964 0.676 0.088
0.964 0.788 0.875
```

=====

2.
The following is a PBE calculation of a geometry-optimized LiPr2Ga3Au4 structure, from the Alexandria database.

Properties
Energy = -4.010 eV per atom
Fermi-level density of states = 0.58 states/eV/atom
Symmetry = P-4m2 (115)
ΔE_f = -0.6438 eV per atom
Total moment = 0.0 μB/f.u.

Cell and atoms, written as POSCAR:
```
LiPr2Ga3Au4
1.0
4.471 0.000 0.000
0.000 4.471 0.000
0.000 0.000 10.446
Li Pr Ga Au
1 2 3 4
Direct
0.000 0.000 0.000
0.000 0.500 0.744
0.500 0.000 0.256
0.000 0.500 0.365
0.500 0.000 0.635
0.500 0.500 0.000
0.000 0.000 0.500
0.000 0.500 0.125
0.500 0.000 0.875
0.500 0.500 0.500
```

=====

The lowest energy belongs to which entry?
U3Al5Te12

=====

Which value of total moment does entry 1 give?
8.2 μB/f.u.

=====

Among the records above, which one has the highest energy?
LiPr2Ga3Au4